(1)
This record from the Alexandria database describes crystalline TlCu2Hg at its relaxed geometry. The functional is PBE.

crystal system = cubic
uncorrected energy = -2.421 eV/atom
energy of formation from the pure elements = 1.18 eV/f.u.

Geometry as CIF:
```
data_TlCu2Hg
_cell_length_a 6.6180
_cell_length_b 6.6180
_cell_length_c 6.6180
_cell_angle_alpha 90.00
_cell_angle_beta 90.00
_cell_angle_gamma 90.00
_symmetry_space_group_name_H-M 'F m -3 m'
_symmetry_Int_Tables_number 225
_symmetry_space_group_name_Hall '-F 4 2 3'
loop_
_atom_site_label
_atom_site_type_symbol
_atom_site_fract_x
_atom_site_fract_y
_atom_site_fract_z
Tl1 Tl 0.0000 0.0000 0.0000
Cu1 Cu 0.2500 0.2500 0.2500
Hg1 Hg 0.0000 0.0000 0.5000
```

(2)
This record from the Alexandria database describes crystalline Tl2CuHg at its relaxed geometry. The functional is PBE.

crystal system = tetragonal
uncorrected energy = -2.021 eV/atom
energy of formation from the pure elements = 1.05 eV/f.u.

Geometry as CIF:
```
data_Tl2CuHg
_cell_length_a 4.4937
_cell_length_b 4.4937
_cell_length_c 9.8985
_cell_angle_alpha 90.00
_cell_angle_beta 90.00
_cell_angle_gamma 90.00
_symmetry_space_group_name_H-M 'I -4 m 2'
_symmetry_Int_Tables_number 119
_symmetry_space_group_name_Hall 'I -4 -2'
loop_
_atom_site_label
_atom_site_type_symbol
_atom_site_fract_x
_atom_site_fract_y
_atom_site_fract_z
Tl1 Tl 0.0000 0.0000 0.0000
Tl2 Tl 0.0000 0.5000 0.2500
Cu1 Cu 0.0000 0.5000 0.7500
Hg1 Hg 0.0000 0.0000 0.5000
```

(3)
This record from the Alexandria database describes crystalline TlCu2Hg at its relaxed geometry. The functional is PBE.

crystal system = orthorhombic
uncorrected energy = -2.416 eV/atom
energy of formation from the pure elements = 1.20 eV/f.u.

Geometry as CIF:
```
data_TlCu2Hg
_cell_length_a 6.6051
_cell_length_b 6.9111
_cell_length_c 3.1907
_cell_angle_alpha 90.00
_cell_angle_beta 90.00
_cell_angle_gamma 90.00
_symmetry_space_group_name_H-M 'C m m m'
_symmetry_Int_Tables_number 65
_symmetry_space_group_name_Hall '-C 2 2'
loop_
_atom_site_label
_atom_site_type_symbol
_atom_site_fract_x
_atom_site_fract_y
_atom_site_fract_z
Tl1 Tl 0.0000 0.0000 0.0000
Cu1 Cu 0.2500 0.2500 0.5000
Hg1 Hg 0.0000 0.5000 0.0000
```

(4)
This record from the Alexandria database describes crystalline Tl2CuHg at its relaxed geometry. The functional is PBE.

crystal system = cubic
uncorrected energy = -1.993 eV/atom
energy of formation from the pure elements = 1.16 eV/f.u.

Geometry as CIF:
```
data_Tl2CuHg
_cell_length_a 7.3365
_cell_length_b 7.3365
_cell_length_c 7.3365
_cell_angle_alpha 90.00
_cell_angle_beta 90.00
_cell_angle_gamma 90.00
_symmetry_space_group_name_H-M 'F -4 3 m'
_symmetry_Int_Tables_number 216
_symmetry_space_group_name_Hall 'F -4 2 3'
loop_
_atom_site_label
_atom_site_type_symbol
_atom_site_fract_x
_atom_site_fract_y
_atom_site_fract_z
Tl1 Tl 0.0000 0.0000 0.0000
Tl2 Tl 0.2500 0.2500 0.2500
Cu1 Cu 0.2500 0.2500 0.7500
Hg1 Hg 0.0000 0.0000 0.5000
```

(5)
This record from the Alexandria database describes crystalline TlCuHg4 at its relaxed geometry. The functional is PBE.

crystal system = cubic
uncorrected energy = -0.962 eV/atom
energy of formation from the pure elements = 1.90 eV/f.u.

Geometry as CIF:
```
data_TlCuHg4
_cell_length_a 8.6361
_cell_length_b 8.6361
_cell_length_c 8.6361
_cell_angle_alpha 90.00
_cell_angle_beta 90.00
_cell_angle_gamma 90.00
_symmetry_space_group_name_H-M 'F -4 3 m'
_symmetry_Int_Tables_number 216
_symmetry_space_group_name_Hall 'F -4 2 3'
loop_
_atom_site_label
_atom_site_type_symbol
_atom_site_fract_x
_atom_site_fract_y
_atom_site_fract_z
Tl1 Tl 0.0000 0.0000 0.0000
Cu1 Cu 0.2500 0.2500 0.7500
Hg1 Hg 0.1245 0.1245 0.3755
```

(6)
This record from the Alexandria database describes crystalline TlCu2Hg at its relaxed geometry. The functional is PBE.

crystal system = tetragonal
uncorrected energy = -2.374 eV/atom
energy of formation from the pure elements = 1.37 eV/f.u.

Geometry as CIF:
```
data_TlCu2Hg
_cell_length_a 4.0281
_cell_length_b 4.0281
_cell_length_c 9.1166
_cell_angle_alpha 90.00
_cell_angle_beta 90.00
_cell_angle_gamma 90.00
_symmetry_space_group_name_H-M 'I -4 m 2'
_symmetry_Int_Tables_number 119
_symmetry_space_group_name_Hall 'I -4 -2'
loop_
_atom_site_label
_atom_site_type_symbol
_atom_site_fract_x
_atom_site_fract_y
_atom_site_fract_z
Tl1 Tl 0.0000 0.0000 0.0000
Cu1 Cu 0.0000 0.0000 0.5000
Cu2 Cu 0.0000 0.5000 0.7500
Hg1 Hg 0.0000 0.5000 0.2500
```

(7)
This record from the Alexandria database describes crystalline TlCuHg at its relaxed geometry. The functional is PBE.

crystal system = cubic
uncorrected energy = -2.062 eV/atom
energy of formation from the pure elements = 0.58 eV/f.u.

Geometry as CIF:
```
data_TlCuHg
_cell_length_a 6.5524
_cell_length_b 6.5524
_cell_length_c 6.5524
_cell_angle_alpha 90.00
_cell_angle_beta 90.00
_cell_angle_gamma 90.00
_symmetry_space_group_name_H-M 'F -4 3 m'
_symmetry_Int_Tables_number 216
_symmetry_space_group_name_Hall 'F -4 2 3'
loop_
_atom_site_label
_atom_site_type_symbol
_atom_site_fract_x
_atom_site_fract_y
_atom_site_fract_z
Tl1 Tl 0.0000 0.0000 0.0000
Cu1 Cu 0.2500 0.2500 0.2500
Hg1 Hg 0.0000 0.0000 0.5000
```

(8)
This record from the Alexandria database describes crystalline Tl2CuHg at its relaxed geometry. The functional is PBE.

crystal system = monoclinic
uncorrected energy = -2.103 eV/atom
energy of formation from the pure elements = 0.72 eV/f.u.

Geometry as CIF:
```
data_Tl2CuHg
_cell_length_a 6.8622
_cell_length_b 3.5236
_cell_length_c 8.7185
_cell_angle_alpha 90.00
_cell_angle_beta 97.52
_cell_angle_gamma 90.00
_symmetry_space_group_name_H-M 'C 1 2/m 1'
_symmetry_Int_Tables_number 12
loop_
_symmetry_equiv_pos_as_xyz
'x,y,z'
'-x,-y,-z'
'-x,y,-z'
'x,-y,z'
'x+1/2,y+1/2,z'
'-x+1/2,-y+1/2,-z'
'-x+1/2,y+1/2,-z'
'x+1/2,-y+1/2,z'
loop_
_atom_site_label
_atom_site_type_symbol
_atom_site_fract_x
_atom_site_fract_y
_atom_site_fract_z
Tl1 Tl 0.2199 0.0000 0.2059
Cu1 Cu 0.0000 0.5000 0.0000
Hg1 Hg 0.0000 0.0000 0.5000
```

(9)
This record from the Alexandria database describes crystalline TlCu2Hg at its relaxed geometry. The functional is PBE.

crystal system = tetragonal
uncorrected energy = -2.307 eV/atom
energy of formation from the pure elements = 1.63 eV/f.u.

Geometry as CIF:
```
data_TlCu2Hg
_cell_length_a 7.3878
_cell_length_b 7.3878
_cell_length_c 5.9688
_cell_angle_alpha 90.00
_cell_angle_beta 90.00
_cell_angle_gamma 90.00
_symmetry_space_group_name_H-M 'I -4 2 d'
_symmetry_Int_Tables_number 122
_symmetry_space_group_name_Hall 'I -4 2bw'
loop_
_atom_site_label
_atom_site_type_symbol
_atom_site_fract_x
_atom_site_fract_y
_atom_site_fract_z
Tl1 Tl 0.0000 0.0000 0.0000
Cu1 Cu 0.2422 0.2500 0.6250
Hg1 Hg 0.0000 0.0000 0.5000
```

(10)
This record from the Alexandria database describes crystalline Tl4CuHg at its relaxed geometry. The functional is PBE.

crystal system = cubic
uncorrected energy = -1.903 eV/atom
energy of formation from the pure elements = 2.44 eV/f.u.

Geometry as CIF:
```
data_Tl4CuHg
_cell_length_a 9.0672
_cell_length_b 9.0672
_cell_length_c 9.0672
_cell_angle_alpha 90.00
_cell_angle_beta 90.00
_cell_angle_gamma 90.00
_symmetry_space_group_name_H-M 'F -4 3 m'
_symmetry_Int_Tables_number 216
_symmetry_space_group_name_Hall 'F -4 2 3'
loop_
_atom_site_label
_atom_site_type_symbol
_atom_site_fract_x
_atom_site_fract_y
_atom_site_fract_z
Tl1 Tl 0.1247 0.1247 0.1247
Cu1 Cu 0.2500 0.2500 0.7500
Hg1 Hg 0.0000 0.0000 0.5000
```

(11)
This record from the Alexandria database describes crystalline TlCu2Hg at its relaxed geometry. The functional is PBE.

crystal system = monoclinic
uncorrected energy = -2.493 eV/atom
energy of formation from the pure elements = 0.89 eV/f.u.

Geometry as CIF:
```
data_TlCu2Hg
_cell_length_a 3.7860
_cell_length_b 4.0953
_cell_length_c 5.2591
_cell_angle_alpha 90.00
_cell_angle_beta 109.29
_cell_angle_gamma 90.00
_symmetry_space_group_name_H-M 'P 1 m 1'
_symmetry_Int_Tables_number 6
loop_
_symmetry_equiv_pos_as_xyz
'x,y,z'
'x,-y,z'
loop_
_atom_site_label
_atom_site_type_symbol
_atom_site_fract_x
_atom_site_fract_y
_atom_site_fract_z
Tl1 Tl 0.0000 0.0000 0.0000
Cu1 Cu 0.5769 0.5000 0.1585
Cu2 Cu 0.7137 0.0000 0.4494
Hg1 Hg 0.2862 0.5000 0.5946
```

(12)
This record from the Alexandria database describes crystalline TlCu2Hg at its relaxed geometry. The functional is PBE.

crystal system = trigonal
uncorrected energy = -2.380 eV/atom
energy of formation from the pure elements = 1.34 eV/f.u.

Geometry as CIF:
```
data_TlCu2Hg
_cell_length_a 3.2775
_cell_length_b 3.2775
_cell_length_c 24.7888
_cell_angle_alpha 90.00
_cell_angle_beta 90.00
_cell_angle_gamma 120.00
_symmetry_space_group_name_H-M 'R -3 m'
_symmetry_Int_Tables_number 166
_symmetry_space_group_name_Hall '-R 3 2"'
loop_
_atom_site_label
_atom_site_type_symbol
_atom_site_fract_x
_atom_site_fract_y
_atom_site_fract_z
Tl1 Tl 0.0000 0.0000 0.0000
Cu1 Cu 0.0000 0.0000 0.2483
Hg1 Hg 0.0000 0.0000 0.5000
```

(13)
This record from the Alexandria database describes crystalline TlCu2Hg at its relaxed geometry. The functional is PBE.

crystal system = cubic
uncorrected energy = -2.303 eV/atom
energy of formation from the pure elements = 1.65 eV/f.u.

Geometry as CIF:
```
data_TlCu2Hg
_cell_length_a 6.7276
_cell_length_b 6.7276
_cell_length_c 6.7276
_cell_angle_alpha 90.00
_cell_angle_beta 90.00
_cell_angle_gamma 90.00
_symmetry_space_group_name_H-M 'F -4 3 m'
_symmetry_Int_Tables_number 216
_symmetry_space_group_name_Hall 'F -4 2 3'
loop_
_atom_site_label
_atom_site_type_symbol
_atom_site_fract_x
_atom_site_fract_y
_atom_site_fract_z
Tl1 Tl 0.0000 0.0000 0.0000
Cu1 Cu 0.0000 0.0000 0.5000
Cu2 Cu 0.2500 0.2500 0.2500
Hg1 Hg 0.2500 0.2500 0.7500
```

(14)
This record from the Alexandria database describes crystalline TlCu2Hg2 at its relaxed geometry. The functional is PBE.

crystal system = tetragonal
uncorrected energy = -2.073 eV/atom
energy of formation from the pure elements = 0.80 eV/f.u.

Geometry as CIF:
```
data_TlCu2Hg2
_cell_length_a 3.4756
_cell_length_b 3.4756
_cell_length_c 18.2071
_cell_angle_alpha 90.00
_cell_angle_beta 90.00
_cell_angle_gamma 90.00
_symmetry_space_group_name_H-M 'I 4/m m m'
_symmetry_Int_Tables_number 139
_symmetry_space_group_name_Hall '-I 4 2'
loop_
_atom_site_label
_atom_site_type_symbol
_atom_site_fract_x
_atom_site_fract_y
_atom_site_fract_z
Tl1 Tl 0.0000 0.0000 0.0000
Cu1 Cu 0.0000 0.5000 0.2500
Hg1 Hg 0.0000 0.0000 0.3710
```

(15)
This record from the Alexandria database describes crystalline Tl2CuHg at its relaxed geometry. The functional is PBE.

crystal system = trigonal
uncorrected energy = -2.116 eV/atom
energy of formation from the pure elements = 0.67 eV/f.u.

Geometry as CIF:
```
data_Tl2CuHg
_cell_length_a 3.5165
_cell_length_b 3.5165
_cell_length_c 28.1171
_cell_angle_alpha 90.00
_cell_angle_beta 90.00
_cell_angle_gamma 120.00
_symmetry_space_group_name_H-M 'R 3 m'
_symmetry_Int_Tables_number 160
_symmetry_space_group_name_Hall 'R 3 -2"'
loop_
_atom_site_label
_atom_site_type_symbol
_atom_site_fract_x
_atom_site_fract_y
_atom_site_fract_z
Tl1 Tl 0.0000 0.0000 0.0000
Tl2 Tl 0.0000 0.0000 0.2273
Cu1 Cu 0.0000 0.0000 0.4906
Hg1 Hg 0.0000 0.0000 0.7594
```

(16)
This record from the Alexandria database describes crystalline TlCu2Hg2 at its relaxed geometry. The functional is PBE.

crystal system = tetragonal
uncorrected energy = -2.036 eV/atom
energy of formation from the pure elements = 0.98 eV/f.u.

Geometry as CIF:
```
data_TlCu2Hg2
_cell_length_a 7.7515
_cell_length_b 7.7515
_cell_length_c 3.3098
_cell_angle_alpha 90.00
_cell_angle_beta 90.00
_cell_angle_gamma 90.00
_symmetry_space_group_name_H-M 'P 4/m b m'
_symmetry_Int_Tables_number 127
_symmetry_space_group_name_Hall '-P 4 2ab'
loop_
_atom_site_label
_atom_site_type_symbol
_atom_site_fract_x
_atom_site_fract_y
_atom_site_fract_z
Tl1 Tl 0.0000 0.0000 0.0000
Cu1 Cu 0.1185 0.3815 0.0000
Hg1 Hg 0.1729 0.6729 0.5000
```

(17)
This record from the Alexandria database describes crystalline TlCu2Hg at its relaxed geometry. The functional is PBE.

crystal system = trigonal
uncorrected energy = -2.416 eV/atom
energy of formation from the pure elements = 1.20 eV/f.u.

Geometry as CIF:
```
data_TlCu2Hg
_cell_length_a 3.2573
_cell_length_b 3.2573
_cell_length_c 25.8781
_cell_angle_alpha 90.00
_cell_angle_beta 90.00
_cell_angle_gamma 120.00
_symmetry_space_group_name_H-M 'R 3 m'
_symmetry_Int_Tables_number 160
_symmetry_space_group_name_Hall 'R 3 -2"'
loop_
_atom_site_label
_atom_site_type_symbol
_atom_site_fract_x
_atom_site_fract_y
_atom_site_fract_z
Tl1 Tl 0.0000 0.0000 0.0000
Cu1 Cu 0.0000 0.0000 0.2491
Cu2 Cu 0.0000 0.0000 0.5208
Hg1 Hg 0.0000 0.0000 0.7744
```

(18)
This record from the Alexandria database describes crystalline Tl2CuHg at its relaxed geometry. The functional is PBE.

crystal system = tetragonal
uncorrected energy = -2.086 eV/atom
energy of formation from the pure elements = 0.79 eV/f.u.

Geometry as CIF:
```
data_Tl2CuHg
_cell_length_a 9.1718
_cell_length_b 9.1718
_cell_length_c 5.2745
_cell_angle_alpha 90.00
_cell_angle_beta 90.00
_cell_angle_gamma 90.00
_symmetry_space_group_name_H-M 'I -4 2 d'
_symmetry_Int_Tables_number 122
_symmetry_space_group_name_Hall 'I -4 2bw'
loop_
_atom_site_label
_atom_site_type_symbol
_atom_site_fract_x
_atom_site_fract_y
_atom_site_fract_z
Tl1 Tl 0.1478 0.2500 0.1250
Cu1 Cu 0.0000 0.0000 0.0000
Hg1 Hg 0.0000 0.0000 0.5000
```

(19)
This record from the Alexandria database describes crystalline Tl2CuHg at its relaxed geometry. The functional is PBE.

crystal system = orthorhombic
uncorrected energy = -2.136 eV/atom
energy of formation from the pure elements = 0.59 eV/f.u.

Geometry as CIF:
```
data_Tl2CuHg
_cell_length_a 3.2128
_cell_length_b 4.4798
_cell_length_c 14.2315
_cell_angle_alpha 90.00
_cell_angle_beta 90.00
_cell_angle_gamma 90.00
_symmetry_space_group_name_H-M 'I m m m'
_symmetry_Int_Tables_number 71
_symmetry_space_group_name_Hall '-I 2 2'
loop_
_atom_site_label
_atom_site_type_symbol
_atom_site_fract_x
_atom_site_fract_y
_atom_site_fract_z
Tl1 Tl 0.0000 0.0000 0.1759
Cu1 Cu 0.0000 0.5000 0.5000
Hg1 Hg 0.0000 0.5000 0.0000
```

(20)
This record from the Alexandria database describes crystalline TlCu2Hg at its relaxed geometry. The functional is PBE.

crystal system = monoclinic
uncorrected energy = -2.452 eV/atom
energy of formation from the pure elements = 1.05 eV/f.u.

Geometry as CIF:
```
data_TlCu2Hg
_cell_length_a 9.0967
_cell_length_b 3.3523
_cell_length_c 6.9447
_cell_angle_alpha 90.00
_cell_angle_beta 123.33
_cell_angle_gamma 90.00
_symmetry_space_group_name_H-M 'C 1 2/m 1'
_symmetry_Int_Tables_number 12
loop_
_symmetry_equiv_pos_as_xyz
'x,y,z'
'-x,-y,-z'
'-x,y,-z'
'x,-y,z'
'x+1/2,y+1/2,z'
'-x+1/2,-y+1/2,-z'
'-x+1/2,y+1/2,-z'
'x+1/2,-y+1/2,z'
loop_
_atom_site_label
_atom_site_type_symbol
_atom_site_fract_x
_atom_site_fract_y
_atom_site_fract_z
Tl1 Tl 0.0000 0.0000 0.0000
Cu1 Cu 0.2245 0.5000 0.3523
Hg1 Hg 0.0000 0.5000 0.5000
```